Entry 1:
VASP calculation (PBE-GGA) on a relaxed structure of FePWCl2.

Results
**Uncorrected energy**: -0.1863 hartree per atom
**DOS(E_F)**: 5.7 states/eV/f.u.
**SG**: P4/mmm (123)
**E_form (uncorrected)**: 1.04 eV/atom
**Distance to the lowest polymorph of the same formula**: 0.284 eV per atom

a b c (Å): 4.280 4.280 5.728
angles (deg): 90.00 90.00 90.00
Site moments in Bohr magnetons follow the coordinates.
Element x y z (fractional)
Fe: 0.000 0.000 0.000  2.78
Cl: 0.000 0.500 0.000  0.14
W: 0.500 0.500 0.500  2.90
Cl: 0.500 0.000 0.000  0.14
P: 0.000 0.000 0.500  -0.21

Entry 2:
VASP calculation (PBE-GGA) on a relaxed structure of Tl2OsAu.

Results
**Uncorrected energy**: -0.1473 hartree per atom
**DOS(E_F)**: 4.1 states/eV/f.u.
**Energy of formation**: 77.4 kJ per mole of atoms
**SG**: Pmm2 (25)
**Distance to the lowest polymorph of the same formula**: 0.198 eV per atom

a b c (Å): 3.310 4.250 5.848
angles (deg): 90.00 90.00 90.00
Site moments in Bohr magnetons follow the coordinates.
Element x y z (fractional)
Tl: 0.500 0.500 0.283  0.00
Au: 0.000 0.000 0.484  0.01
Os: 0.500 0.500 0.780  0.33
Tl: 0.000 0.000 0.953  0.00

Entry 3:
VASP calculation (PBE-GGA) on a relaxed structure of CaNpSb2.

Results
**Uncorrected energy**: -0.2326 hartree per atom
**DOS(E_F)**: 8.5 states/eV/f.u.
**SG**: R-3m (166)
**E_form (uncorrected)**: -0.53 eV/atom
**Distance to the lowest polymorph of the same formula**: 0.000 eV per atom

a b c (Å): 4.466 4.466 7.736
angles (deg): 73.22 73.22 60.00
Site moments in Bohr magnetons follow the coordinates.
Element x y z (fractional)
Np: 0.000 0.000 0.000  -3.55
Sb: 0.745 0.745 0.766  0.12
Ca: 0.500 0.500 0.500  0.04
Sb: 0.255 0.255 0.234  0.12

Entry 4:
VASP calculation (PBE-GGA) on a relaxed structure of SrS8.

Results
**Uncorrected energy**: -0.1385 hartree per atom
**DOS(E_F)**: 3.3 states/eV/f.u.
**SG**: I4/mmm (139)
**E_form (uncorrected)**: 0.09 eV/atom

a b c (Å): 7.398 7.398 7.398
angles (deg): 111.35 108.54 108.54
Element x y z (fractional)
Sr: 0.000 0.000 0.000
S: 0.000 0.230 0.770
S: 0.378 0.378 0.000
S: 0.000 0.770 0.230
S: 0.541 0.770 0.770
S: 0.459 0.230 0.230
S: 0.622 0.000 0.622
S: 0.622 0.622 0.000
S: 0.378 0.000 0.378

Entry 5:
VASP calculation (PBE-GGA) on a relaxed structure of Sn2TeS.

Results
**Uncorrected energy**: -0.1523 hartree per atom
**DOS(E_F)**: 0.1 states/eV/f.u.
**SG**: R-3m (166)
**E_form (uncorrected)**: -0.32 eV/atom
**Distance to the lowest polymorph of the same formula**: 0.000 eV per atom

a b c (Å): 4.329 4.329 7.466
angles (deg): 90.01 106.84 120.01
Element x y z (fractional)
Sn: 0.482 0.241 0.723
Sn: 0.518 0.759 0.277
S: 0.000 0.500 0.500
Te: 0.000 0.000 0.000

Entry 6:
VASP calculation (PBE-GGA) on a relaxed structure of ZnIn2Si.

Results
**Uncorrected energy**: -0.0990 hartree per atom
**DOS(E_F)**: 2.2 states/eV/f.u.
**SG**: F-43m (216)
**E_form (uncorrected)**: 0.35 eV/atom
**Distance to the lowest polymorph of the same formula**: 0.170 eV per atom

a b c (Å): 4.984 4.984 4.984
angles (deg): 60.00 60.00 60.00
Element x y z (fractional)
Si: 0.500 0.500 0.500
In: 0.000 0.000 0.000
Zn: 0.750 0.750 0.750
In: 0.250 0.250 0.250

Entry 7:
VASP calculation (PBE-GGA) on a relaxed structure of Tb3DyYTh.

Results
**Uncorrected energy**: -0.1973 hartree per atom
**DOS(E_F)**: 8.8 states/eV/f.u.
**Energy of formation**: 2.5 kJ per mole of atoms
**SG**: P2_1/m (11)

a b c (Å): 5.054 7.956 10.693
angles (deg): 116.41 90.00 90.00
Element x y z (fractional)
Tb: 0.250 0.132 0.956
Tb: 0.250 0.626 0.457
Dy: 0.250 0.128 0.628
Tb: 0.750 0.382 0.207
Tb: 0.750 0.374 0.543
Y: 0.750 0.876 0.708
Th: 0.250 0.621 0.122
Tb: 0.750 0.868 0.044
Tb: 0.250 0.618 0.793
Y: 0.250 0.124 0.292
Dy: 0.750 0.872 0.372
Th: 0.750 0.379 0.878

Entry 8:
VASP calculation (PBE-GGA) on a relaxed structure of Rb3NaPb2F9.

Results
**Uncorrected energy**: -0.1619 hartree per atom
**DOS(E_F)**: 3.9 states/eV/f.u.
**SG**: P-3m1 (164)
**E_form (uncorrected)**: -2.51 eV/atom

a b c (Å): 6.552 6.552 8.156
angles (deg): 90.00 90.00 120.00
Element x y z (fractional)
F: 0.500 0.500 0.000
F: 0.831 0.169 0.661
F: 0.338 0.169 0.661
Pb: 0.333 0.667 0.177
Na: 0.000 0.000 0.500
F: 0.831 0.662 0.661
F: 0.000 0.500 0.000
Pb: 0.667 0.333 0.823
F: 0.169 0.338 0.339
F: 0.662 0.831 0.339
F: 0.169 0.831 0.339
Rb: 0.333 0.667 0.641
Rb: 0.667 0.333 0.359
F: 0.500 0.000 0.000
Rb: 0.000 0.000 0.000

Q: Which formula does entry 3 have?
A: CaNpSb2

Q: Which value of uncorrected energy does entry 8 give?
A: -0.1619 hartree per atom

Q: uncorrected energy of number 8 (Rb3NaPb2F9)?
A: -0.1619 hartree per atom